# 1
Computed, not measured: a relaxed Co2TcNCl crystal at the PBE level of DFT.

Unit cell a=3.997 b=4.241 c=3.997 alpha=90.00 beta=90.00 gamma=90.00
Atoms (fractional coordinates):
Cl 0.000 0.000 0.000
Co 0.000 0.000 0.500
Co 0.500 0.000 0.000
Tc 0.500 0.500 0.500
N 0.000 0.500 0.000

Uncorrected energy: -0.1875 hartree per atom
SG: P4/mmm, No. 123
Uncorrected formation energy: 892 kJ/mol of formula units


# 2
Computed, not measured: a relaxed SrMg2GaCu crystal at the PBE level of DFT.

Unit cell a=5.012 b=5.012 c=4.781 alpha=90.00 beta=90.00 gamma=90.00
Atoms (fractional coordinates):
Mg 0.500 0.000 0.000
Mg 0.000 0.500 0.000
Cu 0.000 0.000 0.000
Sr 0.500 0.500 0.500
Ga 0.000 0.000 0.500

Uncorrected energy: -0.0916 hartree per atom
DFT formation energy: -0.47 eV/f.u.
SG: P4/mmm, No. 123


# 3
Computed, not measured: a relaxed AlAg2Pd crystal at the PBE level of DFT.

Unit cell a=4.224 b=3.927 c=3.927 alpha=90.00 beta=90.00 gamma=90.00
Atoms (fractional coordinates):
Al 0.500 0.000 0.000
Pd 0.500 0.500 0.500
Ag 0.000 0.000 0.500
Ag 0.000 0.500 0.000

Uncorrected energy: -0.1443 hartree per atom
DFT formation energy: -1.07 eV/f.u.
SG: P4/mmm, No. 123


# 4
Computed, not measured: a relaxed Sc3BiC crystal at the PBE level of DFT.

Unit cell a=5.689 b=6.966 c=6.467 alpha=93.86 beta=87.64 gamma=127.74
Atoms (fractional coordinates):
Bi 0.078 0.587 0.743
Bi 0.078 0.087 0.743
Sc 0.078 0.587 0.243
Sc 0.578 0.103 0.473
Sc 0.579 0.603 0.473
Sc 0.078 0.087 0.243
Sc 0.578 0.571 0.013
Sc 0.578 0.071 0.013
C 0.578 0.337 0.243
C 0.578 0.837 0.243

Uncorrected energy: -0.2574 hartree per atom
DFT formation energy: -2.92 eV/f.u.
SG: P2/m, No. 10


# 5
Computed, not measured: a relaxed Li4Ac2InAu3 crystal at the PBE level of DFT.

Unit cell a=4.399 b=4.399 c=11.700 alpha=90.00 beta=90.00 gamma=90.00
Atoms (fractional coordinates):
Au 0.000 0.000 0.500
Au 0.000 0.500 0.142
Au 0.500 0.000 0.858
Li 0.000 0.000 0.000
Li 0.500 0.500 0.000
Li 0.000 0.500 0.368
Li 0.500 0.000 0.632
Ac 0.500 0.000 0.250
Ac 0.000 0.500 0.750
In 0.500 0.500 0.500

Uncorrected energy: -0.1235 hartree per atom
DFT formation energy: -5.16 eV/f.u.
SG: P-4m2, No. 115


# 6
Computed, not measured: a relaxed Th2BeBRh6 crystal at the PBE level of DFT.

Unit cell a=4.298 b=4.298 c=8.583 alpha=90.00 beta=90.00 gamma=90.00
Atoms (fractional coordinates):
Rh 0.000 0.500 0.500
Rh 0.500 0.000 0.500
Rh 0.500 0.500 0.258
Rh 0.500 0.500 0.742
Rh 0.000 0.500 0.000
Rh 0.500 0.000 0.000
Th 0.000 0.000 0.754
Th 0.000 0.000 0.246
Be 0.500 0.500 0.000
B 0.500 0.500 0.500

Uncorrected energy: -0.2864 hartree per atom
DFT formation energy: -8.58 eV/f.u.
SG: P4/mmm, No. 123


# 7
Computed, not measured: a relaxed Cs3HoTm2Se6 crystal at the PBE level of DFT.

Unit cell a=7.324 b=7.324 c=8.711 alpha=98.06 beta=98.06 gamma=120.00
Atoms (fractional coordinates):
Ho 0.000 0.000 0.000
Cs 0.166 0.834 0.500
Cs 0.500 0.500 0.500
Cs 0.834 0.166 0.500
Se 0.726 0.726 0.184
Se 0.274 0.274 0.816
Se 0.061 0.397 0.184
Se 0.603 0.939 0.816
Se 0.939 0.603 0.816
Se 0.397 0.061 0.184
Tm 0.667 0.333 0.000
Tm 0.333 0.667 0.000

Uncorrected energy: -0.1763 hartree per atom
SG: C2/m, No. 12
Uncorrected formation energy: -1985 kJ/mol of formula units


# 8
Computed, not measured: a relaxed Ta4P crystal at the PBE level of DFT.

Unit cell a=4.580 b=4.580 c=4.580 alpha=90.00 beta=90.00 gamma=90.00
Atoms (fractional coordinates):
Ta 0.000 0.000 0.000
Ta 0.000 0.500 0.500
Ta 0.500 0.000 0.500
Ta 0.500 0.500 0.000
P 0.500 0.500 0.500

Uncorrected energy: -0.3761 hartree per atom
DFT formation energy: 1.65 eV/f.u.
SG: Pm-3m, No. 221


# 9
Computed, not measured: a relaxed Na2Tb3DySe6 crystal at the PBE level of DFT.

Unit cell a=7.123 b=7.123 c=7.189 alpha=99.49 beta=99.49 gamma=119.94
Atoms (fractional coordinates):
Se 0.587 0.916 0.748
Se 0.413 0.084 0.252
Se 0.757 0.757 0.256
Se 0.084 0.413 0.252
Se 0.916 0.587 0.748
Se 0.243 0.243 0.744
Tb 0.169 0.831 0.500
Tb 0.500 0.500 0.500
Tb 0.831 0.169 0.500
Na 0.334 0.666 0.000
Na 0.666 0.334 0.000
Dy 0.000 0.000 0.000

Uncorrected energy: -0.1921 hartree per atom
SG: C2/m, No. 12
Uncorrected formation energy: -1997 kJ/mol of formula units


# 10
Computed, not measured: a relaxed SrAl2N2 crystal at the PBE level of DFT.

Unit cell a=3.698 b=3.698 c=8.682 alpha=77.70 beta=77.70 gamma=90.00
Atoms (fractional coordinates):
Al 0.750 0.250 0.500
Al 0.250 0.750 0.500
Sr 0.000 0.000 0.000
N 0.280 0.280 0.440
N 0.720 0.720 0.560

Uncorrected energy: -0.2080 hartree per atom
SG: I4/mmm, No. 139
Uncorrected formation energy: -240 kJ/mol of formula units


# 11
Computed, not measured: a relaxed Cs3CeAs2O8 crystal at the PBE level of DFT.

Unit cell a=6.197 b=6.197 c=8.737 alpha=90.00 beta=90.00 gamma=120.00
Atoms (fractional coordinates):
O 0.362 0.181 0.657
O 0.181 0.819 0.343
O 0.638 0.819 0.343
O 0.181 0.362 0.343
O 0.667 0.333 0.919
O 0.819 0.638 0.657
O 0.819 0.181 0.657
O 0.333 0.667 0.081
As 0.667 0.333 0.725
As 0.333 0.667 0.275
Cs 0.667 0.333 0.251
Cs 0.333 0.667 0.749
Cs 0.000 0.000 0.000
Ce 0.000 0.000 0.500

Uncorrected energy: -0.2229 hartree per atom
SG: P-3m1, No. 164
Uncorrected formation energy: -2650 kJ/mol of formula units


# 12
Computed, not measured: a relaxed Eu3Ga5F12 crystal at the PBE level of DFT.

Unit cell a=12.364 b=12.364 c=12.364 alpha=109.47 beta=109.47 gamma=109.47
Atoms (fractional coordinates):
Ga 0.875 0.250 0.625
Ga 0.000 0.500 0.000
Ga 0.250 0.375 0.625
Ga 0.125 0.375 0.250
Ga 0.000 0.500 0.500
Ga 0.250 0.875 0.125
Ga 0.500 0.500 0.000
Ga 0.000 0.000 0.000
Ga 0.625 0.875 0.250
Ga 0.375 0.250 0.125
Ga 0.500 0.500 0.500
Ga 0.125 0.750 0.375
Ga 0.500 0.000 0.500
Ga 0.000 0.000 0.500
Ga 0.375 0.125 0.750
Ga 0.750 0.125 0.875
Ga 0.500 0.000 0.000
Ga 0.875 0.625 0.750
Ga 0.625 0.750 0.875
Ga 0.750 0.625 0.375
Eu 0.625 0.375 0.750
Eu 0.750 0.375 0.125
Eu 0.375 0.750 0.625
Eu 0.875 0.750 0.125
Eu 0.750 0.875 0.625
Eu 0.125 0.250 0.875
Eu 0.375 0.625 0.250
Eu 0.250 0.125 0.375
Eu 0.125 0.875 0.750
Eu 0.625 0.250 0.375
Eu 0.875 0.125 0.250
Eu 0.250 0.625 0.875
F 0.142 0.735 0.563
F 0.765 0.437 0.358
F 0.063 0.421 0.829
F 0.079 0.171 0.437
F 0.358 0.421 0.093
F 0.421 0.358 0.593
F 0.642 0.579 0.907
F 0.907 0.079 0.642
F 0.671 0.437 0.579
F 0.829 0.921 0.063
F 0.093 0.921 0.358
F 0.358 0.937 0.765
F 0.329 0.563 0.421
F 0.437 0.671 0.079
F 0.765 0.329 0.907
F 0.642 0.063 0.235
F 0.407 0.142 0.579
F 0.921 0.829 0.563
F 0.235 0.563 0.642
F 0.937 0.358 0.265
F 0.093 0.171 0.235
F 0.671 0.235 0.593
F 0.735 0.593 0.171
F 0.171 0.093 0.735
F 0.563 0.235 0.142
F 0.735 0.142 0.063
F 0.579 0.642 0.407
F 0.329 0.765 0.407
F 0.265 0.858 0.937
F 0.265 0.407 0.829
F 0.829 0.907 0.265
F 0.142 0.407 0.079
F 0.921 0.093 0.858
F 0.579 0.937 0.671
F 0.593 0.858 0.421
F 0.593 0.735 0.671
F 0.937 0.579 0.171
F 0.437 0.765 0.858
F 0.907 0.829 0.765
F 0.235 0.671 0.093
F 0.079 0.907 0.142
F 0.421 0.063 0.329
F 0.407 0.265 0.329
F 0.063 0.642 0.735
F 0.171 0.079 0.937
F 0.563 0.329 0.921
F 0.858 0.265 0.437
F 0.858 0.593 0.921

Uncorrected energy: -0.2198 hartree per atom
SG: Ia-3d, No. 230
Uncorrected formation energy: -4940 kJ/mol of formula units


# 13
Computed, not measured: a relaxed Ca3LaCl crystal at the PBE level of DFT.

Unit cell a=6.491 b=6.491 c=6.491 alpha=90.00 beta=90.00 gamma=90.00
Atoms (fractional coordinates):
Ca 0.000 0.500 0.000
Ca 0.000 0.000 0.500
Ca 0.500 0.000 0.000
La 0.000 0.000 0.000
Cl 0.500 0.500 0.500

Uncorrected energy: -0.0717 hartree per atom
SG: Pm-3m, No. 221
Uncorrected formation energy: 291 kJ/mol of formula units


# 14
Computed, not measured: a relaxed InC3 crystal at the PBE level of DFT.

Unit cell a=4.717 b=4.717 c=5.969 alpha=90.00 beta=90.00 gamma=120.00
Atoms (fractional coordinates):
C 0.103 0.207 0.750
C 0.103 0.897 0.750
C 0.897 0.793 0.250
C 0.207 0.103 0.250
C 0.897 0.103 0.250
C 0.793 0.897 0.750
In 0.333 0.667 0.250
In 0.667 0.333 0.750

Uncorrected energy: -0.2033 hartree per atom
DFT formation energy: 8.28 eV/f.u.
SG: P6_3/mmc, No. 194


# 15
Computed, not measured: a relaxed SiTcP2Cl crystal at the PBE level of DFT.

Unit cell a=4.586 b=4.586 c=4.436 alpha=90.00 beta=90.00 gamma=90.00
Atoms (fractional coordinates):
Tc 0.500 0.500 0.500
P 0.500 0.000 0.000
P 0.000 0.500 0.000
Cl 0.000 0.000 0.500
Si 0.000 0.000 0.000

Uncorrected energy: -0.1740 hartree per atom
SG: P4/mmm, No. 123
Uncorrected formation energy: 462 kJ/mol of formula units


# 16
Computed, not measured: a relaxed Pa2GeIrC crystal at the PBE level of DFT.

Unit cell a=3.963 b=6.530 c=7.807 alpha=108.18 beta=90.00 gamma=90.00
Atoms (fractional coordinates):
Pa 0.750 0.773 0.617
Pa 0.250 0.227 0.383
Pa 0.750 0.776 0.027
Pa 0.250 0.224 0.973
Ir 0.750 0.475 0.250
Ir 0.250 0.525 0.750
C 0.750 0.140 0.162
C 0.250 0.860 0.838
Ge 0.250 0.746 0.316
Ge 0.750 0.254 0.684

Uncorrected energy: -0.3276 hartree per atom
DFT formation energy: -2.87 eV/f.u.
SG: P2_1/m, No. 11


# 17
Computed, not measured: a relaxed K4Na2Br crystal at the PBE level of DFT.

Unit cell a=6.379 b=6.379 c=11.053 alpha=73.23 beta=73.23 gamma=90.00
Atoms (fractional coordinates):
K 0.828 0.828 0.344
K 0.000 0.500 0.000
K 0.172 0.172 0.656
K 0.500 0.000 0.000
Br 0.000 0.000 0.000
Na 0.635 0.635 0.729
Na 0.365 0.365 0.271

Uncorrected energy: -0.0602 hartree per atom
SG: I4/mmm, No. 139
Uncorrected formation energy: -267 kJ/mol of formula units


# 18
Computed, not measured: a relaxed Rb3Cd2PbBr9 crystal at the PBE level of DFT.

Unit cell a=8.021 b=8.021 c=10.006 alpha=90.00 beta=90.00 gamma=120.00
Atoms (fractional coordinates):
Cd 0.333 0.667 0.161
Cd 0.667 0.333 0.839
Br 0.660 0.830 0.319
Br 0.000 0.500 0.000
Br 0.500 0.500 0.000
Br 0.830 0.170 0.681
Br 0.170 0.340 0.319
Br 0.340 0.170 0.681
Br 0.830 0.660 0.681
Br 0.500 0.000 0.000
Br 0.170 0.830 0.319
Pb 0.000 0.000 0.500
Rb 0.333 0.667 0.698
Rb 0.667 0.333 0.302
Rb 0.000 0.000 0.000

Uncorrected energy: -0.1018 hartree per atom
SG: P-3m1, No. 164
Uncorrected formation energy: -1743 kJ/mol of formula units


# 19
Computed, not measured: a relaxed KSr2Ag crystal at the PBE level of DFT.

Unit cell a=7.176 b=7.176 c=4.100 alpha=77.72 beta=77.72 gamma=113.86
Atoms (fractional coordinates):
Sr 0.500 0.500 0.000
Sr 0.000 0.000 0.000
K 0.000 0.500 0.500
Ag 0.500 0.000 0.500

Uncorrected energy: -0.0602 hartree per atom
DFT formation energy: 0.76 eV/f.u.
SG: C2/m, No. 12


# 20
Computed, not measured: a relaxed AlSn2Pb crystal at the PBE level of DFT.

Unit cell a=5.312 b=5.312 c=5.312 alpha=60.00 beta=60.00 gamma=60.00
Atoms (fractional coordinates):
Sn 0.250 0.250 0.250
Sn 0.750 0.750 0.750
Al 0.000 0.000 0.000
Pb 0.500 0.500 0.500

Uncorrected energy: -0.1347 hartree per atom
DFT formation energy: 0.79 eV/f.u.
SG: Fm-3m, No. 225